1.
This record from the Alexandria database describes a relaxed structure of HgO6F2. The functional is PBE.

Structure (POSCAR):
```
HgO6F2
1.0
-4.450 -0.395 4.775
4.600 -3.981 2.397
1.524 2.675 1.766
Hg O F
1 6 2
direct
0.000 0.000 0.000 Hg
0.695 0.465 0.925 O
0.305 0.535 0.075 O
0.347 0.347 0.893 O
0.465 0.695 0.925 O
0.535 0.305 0.075 O
0.653 0.653 0.107 O
0.863 0.137 0.500 F
0.137 0.863 0.500 F
```

Results
magnetic moment: 0.00 μB per formula unit
E_form (uncorrected): -0.08 eV/atom
Fermi-level density of states: 0.00 states/eV per cell
V: 16.6 Å³/atom
SG: C2/m

2.
This record from the Alexandria database describes a relaxed structure of HgO2F2. The functional is PBE.

Structure (POSCAR):
```
HgO2F2
1.0
-2.022 -0.446 2.913
0.769 -3.491 -0.001
3.814 0.839 2.775
Hg O F
1 2 2
direct
0.500 0.500 0.500 Hg
0.000 0.500 0.000 O
0.500 0.000 0.000 O
0.000 0.000 0.000 F
0.000 0.000 0.500 F
```

Results
magnetic moment: 0.71 μB per formula unit
E_form (uncorrected): 0.55 eV/atom
Fermi-level density of states: 0.25 states/eV per cell
V: 12.2 Å³/atom
SG: P4/mmm

3.
This record from the Alexandria database describes a relaxed structure of Hg2OF2. The functional is PBE.

Structure (POSCAR):
```
Hg2OF2
1.0
3.268 0.000 0.000
-1.634 6.256 0.000
0.000 0.000 7.330
Hg O F
4 2 4
direct
0.244 0.487 0.175 Hg
0.037 0.074 0.934 Hg
0.756 0.513 0.675 Hg
0.963 0.926 0.434 Hg
0.682 0.364 0.952 O
0.318 0.636 0.452 O
0.897 0.794 0.129 F
0.421 0.842 0.795 F
0.103 0.206 0.629 F
0.579 0.158 0.295 F
```

Results
E above lowest polymorph: 9.1 kJ per mole of atoms
magnetic moment: 0.00 μB per formula unit
E_form (uncorrected): -0.89 eV/atom
Fermi-level density of states: 0.57 states/eV per cell
V: 15.0 Å³/atom
SG: Cmc2_1

4.
This record from the Alexandria database describes a relaxed structure of HgO3F12. The functional is PBE.

Structure (POSCAR):
```
HgO3F12
1.0
-6.107 -4.209 -3.409
1.513 -7.124 -3.687
-3.061 -8.604 6.332
Hg O F
2 6 24
direct
0.105 0.105 0.685 Hg
0.605 0.605 0.185 Hg
0.718 0.146 0.031 O
0.218 0.604 0.531 O
0.646 0.218 0.531 O
0.146 0.104 0.031 O
0.104 0.718 0.031 O
0.604 0.646 0.531 O
0.069 0.109 0.167 F
0.183 0.323 0.572 F
0.681 0.076 0.470 F
0.897 0.288 0.802 F
0.397 0.512 0.302 F
0.181 0.273 0.970 F
0.683 0.421 0.072 F
0.076 0.773 0.470 F
0.569 0.155 0.667 F
0.921 0.183 0.572 F
0.788 0.397 0.302 F
0.155 0.609 0.667 F
0.273 0.576 0.970 F
0.655 0.069 0.167 F
0.288 0.012 0.802 F
0.421 0.823 0.072 F
0.823 0.683 0.072 F
0.576 0.181 0.970 F
0.609 0.569 0.667 F
0.012 0.897 0.802 F
0.512 0.788 0.302 F
0.109 0.655 0.167 F
0.323 0.921 0.572 F
0.773 0.681 0.470 F
```

Results
magnetic moment: 0.11 μB per formula unit
E_form (uncorrected): -0.24 eV/atom
V: 18.1 Å³/atom
SG: R3c

5.
This record from the Alexandria database describes a relaxed structure of Hg9O2F14. The functional is PBE.

Structure (POSCAR):
```
Hg9O2F14
1.0
-2.419 6.340 -0.738
-2.758 -5.140 -3.545
-6.567 -1.636 7.481
Hg O F
9 2 14
direct
0.310 0.959 0.333 Hg
0.041 0.351 0.333 Hg
0.333 0.667 0.033 Hg
0.000 0.000 0.000 Hg
0.351 0.310 0.667 Hg
0.649 0.690 0.333 Hg
0.667 0.333 0.967 Hg
0.959 0.649 0.667 Hg
0.690 0.041 0.667 Hg
0.333 0.667 0.266 O
0.667 0.333 0.734 O
0.046 0.681 0.912 F
0.285 0.914 0.592 F
0.086 0.371 0.592 F
0.000 0.000 0.237 F
0.000 0.000 0.763 F
0.319 0.365 0.912 F
0.635 0.954 0.912 F
0.371 0.285 0.408 F
0.629 0.715 0.592 F
0.365 0.046 0.088 F
0.681 0.635 0.088 F
0.914 0.629 0.408 F
0.715 0.086 0.408 F
0.954 0.319 0.088 F
```

Results
magnetic moment: 0.00 μB per formula unit
E_form (uncorrected): -1.27 eV/atom
V: 16.3 Å³/atom
SG: P-3

6.
This record from the Alexandria database describes a relaxed structure of Hg2OF2. The functional is PBE.

Structure (POSCAR):
```
Hg2OF2
1.0
-6.360 0.241 -0.281
-0.302 -6.709 1.066
0.260 1.293 8.215
Hg O F
8 4 8
direct
0.723 0.966 0.159 Hg
0.223 0.534 0.159 Hg
0.777 0.466 0.841 Hg
0.277 0.034 0.841 Hg
0.737 0.380 0.443 Hg
0.237 0.120 0.443 Hg
0.763 0.880 0.557 Hg
0.263 0.620 0.557 Hg
0.355 0.402 0.368 O
0.645 0.598 0.632 O
0.855 0.098 0.368 O
0.145 0.902 0.632 O
0.390 0.189 0.042 F
0.890 0.311 0.042 F
0.110 0.689 0.958 F
0.610 0.811 0.958 F
0.921 0.650 0.337 F
0.421 0.850 0.337 F
0.579 0.150 0.663 F
0.079 0.350 0.663 F
```

Results
E above lowest polymorph: 0.0 kJ per mole of atoms
magnetic moment: 0.00 μB per formula unit
E_form (uncorrected): -0.98 eV/atom
V: 18.0 Å³/atom
SG: P2_1/c